Record 1
# PrDyTm (PBE-GGA, relaxed)
data_PrDyTm
_chemical_formula_sum 'Pr2 Dy2 Tm2'
_cell_length_a 3.5356
_cell_length_b 5.4361
_cell_length_c 10.3407
_cell_angle_alpha 90.00
_cell_angle_beta 99.85
_cell_angle_gamma 90.00
_symmetry_space_group_name_H-M 'P 1 21/m 1'
_symmetry_Int_Tables_number 11
_symmetry_space_group_name_Hall '-P 2yb'
loop_
_atom_site_label
_atom_site_type_symbol
_atom_site_fract_x
_atom_site_fract_y
_atom_site_fract_z
_atom_site_occupancy
Pr1 Pr 0.2062 0.2500 0.4116 1
Dy1 Dy 0.3875 0.2500 0.7761 1
Tm1 Tm 0.0414 0.2500 0.0808 1
# Theoretical density   8.011 Mg/m³
# Calculated volume   32.64 Å³ per atom
# Relative energy among the computed polymorphs   0.05 eV per formula unit

Record 2
# PrDy7Tm12 (PBE-GGA, relaxed)
data_PrDy7Tm12
_chemical_formula_sum 'Pr2 Dy14 Tm24'
_cell_length_a 11.1487
_cell_length_b 11.1487
_cell_length_c 11.1487
_cell_angle_alpha 90.00
_cell_angle_beta 90.00
_cell_angle_gamma 90.00
_symmetry_space_group_name_H-M 'I m -3 m'
_symmetry_Int_Tables_number 229
_symmetry_space_group_name_Hall '-I 4 2 3'
loop_
_atom_site_label
_atom_site_type_symbol
_atom_site_fract_x
_atom_site_fract_y
_atom_site_fract_z
_atom_site_occupancy
Pr1 Pr 0.0000 0.0000 0.0000 1
Dy1 Dy 0.0000 0.0000 0.5000 1
Dy2 Dy 0.2500 0.2500 0.2500 1
Tm1 Tm 0.0000 0.2562 0.2562 1
# Theoretical density   7.923 Mg/m³
# Calculated volume   34.64 Å³ per atom
# Relative energy among the computed polymorphs   9.63 eV per formula unit

Record 3
# PrDyTm4 (PBE-GGA, relaxed)
data_PrDyTm4
_chemical_formula_sum 'Pr2 Dy2 Tm8'
_cell_length_a 11.2015
_cell_length_b 4.9786
_cell_length_c 7.0706
_cell_angle_alpha 90.00
_cell_angle_beta 108.37
_cell_angle_gamma 90.00
_symmetry_space_group_name_H-M 'C 1 2/m 1'
_symmetry_Int_Tables_number 12
_symmetry_space_group_name_Hall '-C 2y'
loop_
_atom_site_label
_atom_site_type_symbol
_atom_site_fract_x
_atom_site_fract_y
_atom_site_fract_z
_atom_site_occupancy
Pr1 Pr 0.0000 0.0000 0.0000 1
Dy1 Dy 0.0000 0.0000 0.5000 1
Tm1 Tm 0.1667 0.5000 0.8318 1
Tm2 Tm 0.1686 0.5000 0.3357 1
# Theoretical density   8.690 Mg/m³
# Calculated volume   31.18 Å³ per atom
# Relative energy among the computed polymorphs   0.00 eV per formula unit